Entry 1:
This record from Alexandria via LeMat-Bulk describes crystalline FeRuNF2 at its relaxed geometry. The functional is GGA-PBEsol.

energy relative to the elements, uncorrected = 0.11 eV/atom
total magnetic moment = 0.905 μB per atom

Structure (POSCAR):
```
FeRuNF2
1.0
3.911 0.000 0.000
0.000 3.911 0.000
0.000 0.000 3.549
Ru N Fe F
1 1 1 2
direct
0.500 0.500 0.500
0.000 0.000 0.500
0.000 0.000 0.000
0.000 0.500 0.000
0.500 0.000 0.000
```

Entry 2:
This record from Alexandria via LeMat-Bulk describes crystalline SrCa2H at its relaxed geometry. The functional is GGA-PBEsol.

raw total energy = -2.554 eV/atom
total magnetic moment = 0.000 μB per atom

Structure (POSCAR):
```
SrCa2H
1.0
-2.044 -6.913 0.809
3.298 -5.226 -3.799
4.381 -4.709 3.355
Sr Ca H
2 4 2
direct
0.750 0.750 0.750
0.500 0.500 0.500
0.125 0.125 0.625
0.125 0.125 0.125
0.625 0.125 0.125
0.125 0.625 0.125
0.250 0.250 0.250
0.000 0.000 0.000
```

Entry 3:
This record from Alexandria via LeMat-Bulk describes crystalline SbIr at its relaxed geometry. The functional is GGA-PBEsol.

energy relative to the elements, uncorrected = 0.05 eV/atom
total magnetic moment = 0.000 μB per atom

Structure (POSCAR):
```
SbIr
1.0
5.299 0.000 0.000
0.000 5.299 0.000
0.000 0.000 5.299
Ir Sb
4 4
direct
0.050 0.550 0.950
0.450 0.450 0.450
0.950 0.050 0.550
0.550 0.950 0.050
0.444 0.944 0.556
0.056 0.056 0.056
0.556 0.444 0.944
0.944 0.556 0.444
```

Entry 4:
This record from Alexandria via LeMat-Bulk describes crystalline Rb2ReF6 at its relaxed geometry. The functional is GGA-PBEsol.

energy relative to the elements, uncorrected = -2.47 eV/atom
total magnetic moment = 0.333 μB per atom

Structure (POSCAR):
```
Rb2ReF6
1.0
4.722 0.000 0.000
0.000 6.001 0.000
0.000 -3.001 5.197
Re Rb F
1 2 6
direct
0.000 0.000 0.000
0.707 0.333 0.667
0.293 0.667 0.333
0.776 0.840 0.160
0.776 0.840 0.680
0.776 0.320 0.160
0.224 0.160 0.840
0.224 0.160 0.320
0.224 0.680 0.840
```

Entry 5:
This record from Alexandria via LeMat-Bulk describes crystalline Tl2RuSe at its relaxed geometry. The functional is GGA-PBEsol.

energy relative to the elements, uncorrected = 0.09 eV/atom
polymorph energy (0 for the lowest one) = 0 meV/atom
total magnetic moment = 0.000 μB per atom

Structure (POSCAR):
```
Tl2RuSe
1.0
-0.840 0.442 3.025
-4.342 -0.235 -1.171
2.255 -6.055 1.510
Ru Se Tl
1 1 2
direct
0.000 0.723 0.446
0.500 0.575 0.150
0.000 0.952 0.903
0.500 0.261 0.522
```

Entry 6:
This record from Alexandria via LeMat-Bulk describes crystalline MgCu2 at its relaxed geometry. The functional is GGA-PBEsol.

ΔE_f = -0.0267 eV per atom
total magnetic moment = 0.000 μB per atom

Structure (POSCAR):
```
MgCu2
1.0
-0.404 -2.075 -2.977
3.140 -2.024 0.985
-1.685 -4.622 3.449
Cu Mg
4 2
direct
0.000 0.000 0.000
0.500 0.500 0.000
0.500 0.844 0.312
0.500 0.156 0.688
0.000 0.660 0.680
0.000 0.340 0.320
```

Entry 7:
This record from Alexandria via LeMat-Bulk describes crystalline Nb3SbH at its relaxed geometry. The functional is GGA-PBEsol.

raw total energy = -8.271 eV/atom
total magnetic moment = 0.000 μB per atom

Structure (POSCAR):
```
Nb3SbH
1.0
-3.595 0.656 2.087
-1.766 -3.241 -2.022
1.292 -2.603 3.044
Sb Nb H
1 3 1
direct
0.500 0.500 0.500
0.000 0.500 0.000
0.000 0.000 0.500
0.500 0.000 0.000
0.000 0.000 0.000
```

Entry 8:
This record from Alexandria via LeMat-Bulk describes crystalline Li2TlHg at its relaxed geometry. The functional is GGA-PBEsol.

ΔE_f = -0.2962 eV per atom
total magnetic moment = 0.000 μB per atom

Structure (POSCAR):
```
Li2TlHg
1.0
-0.679 3.452 -0.808
-1.367 -1.259 -4.232
-3.477 -1.737 3.568
Tl Hg Li
1 1 2
direct
0.497 0.478 0.994
0.260 0.783 0.520
0.993 0.974 0.987
0.749 0.265 0.499
```